Material: KTa2Tl
Method: DFT, meta-GGA SCAN
State: single point on PBEsol structure

Values from the calculation:
Its density of states at the Fermi level is 2.9 states/eV per cell. The value obtained for the total energy is -210.1 eV per formula unit. The space group is No. 10.

Structure (POSCAR):
```
KTa2Tl
1.0
3.026 0.000 0.000
0.000 5.216 0.000
-1.098 0.000 6.748
K Ta Tl
1 2 1
Direct
0.000 0.000 0.000
0.270 0.500 0.653
0.730 0.500 0.347
0.500 0.000 0.500
```

***

Material: KTa2Tl
Method: DFT, meta-GGA SCAN
State: single point on PBEsol structure

Values from the calculation:
Its density of states at the Fermi level is 3.2 states/eV per cell. The value obtained for the total energy is -210.4 eV per formula unit. The space group is No. 71.

Structure (POSCAR):
```
KTa2Tl
1.0
-1.425 2.666 5.959
1.425 -2.666 5.959
1.425 2.666 -5.959
K Ta Tl
1 2 1
Direct
0.000 0.000 0.000
0.281 0.781 0.500
0.719 0.219 0.500
0.500 0.500 0.000
```

***

Material: KTa2Tl
Method: DFT, meta-GGA SCAN
State: single point on PBEsol structure

Values from the calculation:
Its density of states at the Fermi level is 3.0 states/eV per cell. The value obtained for the total energy is -209.5 eV per formula unit. The space group is No. 47.

Structure (POSCAR):
```
KTa2Tl
1.0
2.969 0.000 0.000
0.000 5.255 0.000
0.000 0.000 5.589
K Ta Tl
1 2 1
Direct
0.000 0.000 0.000
0.000 0.500 0.500
0.500 0.000 0.500
0.500 0.500 0.000
```

***

Material: KTaW3
Method: DFT, meta-GGA SCAN
State: single point on PBEsol structure

Values from the calculation:
Its density of states at the Fermi level is 6.9 states/eV per cell. The value obtained for the total energy is -265.7 eV per formula unit. The space group is No. 221.

Structure (POSCAR):
```
KTaW3
1.0
4.437 0.000 0.000
0.000 4.437 0.000
0.000 0.000 4.437
K Ta W
1 1 3
Direct
0.000 0.000 0.000
0.500 0.500 0.500
0.000 0.000 0.500
0.000 0.500 0.000
0.500 0.000 0.000
```

***

Material: K2TaW
Method: DFT, meta-GGA SCAN
State: single point on PBEsol structure

Values from the calculation:
Its density of states at the Fermi level is 2.5 states/eV per cell. The value obtained for the total energy is -149.3 eV per formula unit. The space group is No. 99.

Structure (POSCAR):
```
K2TaW
1.0
3.382 0.000 0.000
0.000 3.382 0.000
0.000 0.000 10.847
K Ta W
2 1 1
Direct
0.000 0.000 0.000
0.500 0.500 0.394
0.000 0.000 0.657
0.500 0.500 0.756
```

***

Material: KTa2W
Method: DFT, meta-GGA SCAN
State: single point on PBEsol structure

Values from the calculation:
Its density of states at the Fermi level is 2.9 states/eV per cell. The value obtained for the total energy is -208.7 eV per formula unit. The space group is No. 65.

Structure (POSCAR):
```
KTa2W
1.0
1.582 -2.407 0.000
1.582 2.407 0.000
0.000 0.000 10.820
K Ta W
1 2 1
Direct
0.000 0.000 0.000
0.500 0.500 0.300
0.500 0.500 0.700
0.000 0.000 0.500
```